Entry 1:
ZnCd2Pb2 | Alexandria via LeMat-Bulk | PBE | relaxed; space-group type = No. 127; calculated density = 8.9 g/cm3; formation energy = 0.60 eV per formula unit; E = -1.985 eV/atom
1.0
7.218 0.000 0.000
0.000 7.218 0.000
0.000 0.000 5.056
Zn Cd Pb
2 4 4
Direct
0.000 0.000 0.000
0.500 0.500 0.000
0.143 0.357 0.000
0.357 0.857 0.000
0.643 0.143 0.000
0.857 0.643 0.000
0.171 0.671 0.500
0.329 0.171 0.500
0.671 0.829 0.500
0.829 0.329 0.500


Entry 2:
Zn2CdPb2 | Alexandria via LeMat-Bulk | PBE | relaxed; space-group type = No. 139; calculated density = 8.7 g/cm3; formation energy = 0.54 eV per formula unit; E = -2.067 eV/atom
1.0
3.649 0.000 0.000
0.000 3.649 0.000
0.000 0.000 18.746
Zn Cd Pb
4 2 4
Direct
0.000 0.500 0.250
0.000 0.500 0.750
0.500 0.000 0.250
0.500 0.000 0.750
0.000 0.000 0.000
0.500 0.500 0.500
0.000 0.000 0.388
0.000 0.000 0.612
0.500 0.500 0.112
0.500 0.500 0.888


Entry 3:
Zn2CdPb | Alexandria via LeMat-Bulk | PBE | relaxed; space-group type = No. 12; calculated density = 8.5 g/cm3; formation energy = 0.66 eV per formula unit; E = -1.628 eV/atom
1.0
6.836 0.000 0.000
0.000 8.366 0.000
-0.160 0.000 3.093
Zn Cd Pb
4 2 2
Direct
0.250 0.250 0.000
0.250 0.750 0.000
0.750 0.250 0.000
0.750 0.750 0.000
0.000 0.000 0.500
0.500 0.500 0.500
0.000 0.500 0.500
0.500 0.000 0.500


Entry 4:
ZnCdPb | Alexandria via LeMat-Bulk | PBE | relaxed; space-group type = No. 12; calculated density = 8.8 g/cm3; formation energy = 0.23 eV per formula unit; E = -1.888 eV/atom
1.0
12.833 0.000 0.000
0.000 4.197 0.000
-1.635 0.000 5.386
Zn Cd Pb
4 4 4
Direct
0.226 0.000 0.356
0.274 0.500 0.644
0.726 0.500 0.356
0.774 0.000 0.644
0.066 0.500 0.273
0.434 0.000 0.727
0.566 0.000 0.273
0.934 0.500 0.727
0.132 0.000 0.816
0.368 0.500 0.184
0.632 0.500 0.816
0.868 0.000 0.184


Entry 5:
Zn2CdPb | Alexandria via LeMat-Bulk | PBE | relaxed; space-group type = No. 8; calculated density = 8.4 g/cm3; formation energy = 0.45 eV per formula unit; E = -1.680 eV/atom
1.0
8.704 0.000 0.000
0.000 3.450 0.000
-1.203 0.000 5.935
Zn Cd Pb
4 2 2
Direct
0.000 0.000 0.000
0.231 0.500 0.149
0.500 0.500 0.000
0.731 0.000 0.149
0.476 0.000 0.382
0.976 0.500 0.382
0.243 0.000 0.710
0.743 0.500 0.710


Entry 6:
ZnCd2Pb | Alexandria via LeMat-Bulk | PBE | relaxed; space-group type = No. 47; calculated density = 8.4 g/cm3; formation energy = 0.53 eV per formula unit; E = -1.569 eV/atom
1.0
3.581 0.000 0.000
0.000 4.780 0.000
0.000 0.000 5.714
Zn Cd Pb
1 2 1
Direct
0.000 0.000 0.000
0.000 0.500 0.500
0.500 0.000 0.500
0.500 0.500 0.000


Please write out number 3 again, unchanged.
Zn2CdPb | Alexandria via LeMat-Bulk | PBE | relaxed; space-group type = No. 12; calculated density = 8.5 g/cm3; formation energy = 0.66 eV per formula unit; E = -1.628 eV/atom
1.0
6.836 0.000 0.000
0.000 8.366 0.000
-0.160 0.000 3.093
Zn Cd Pb
4 2 2
Direct
0.250 0.250 0.000
0.250 0.750 0.000
0.750 0.250 0.000
0.750 0.750 0.000
0.000 0.000 0.500
0.500 0.500 0.500
0.000 0.500 0.500
0.500 0.000 0.500


Q: Number 2 is which compound?
A: Zn2CdPb2